(1)
VASP calculation (SCAN) on LaTaCr at its PBEsol-relaxed geometry.

Cell and atoms, written as POSCAR:
```
LaTaCr
1.0
4.551 0.000 0.000
2.276 3.941 0.000
2.276 1.314 3.716
Ta Cr La
1 1 1
Cartesian
0.000 0.000 0.000 Ta
4.551 2.628 1.858 Cr
2.276 1.314 0.929 La
```

Values from the calculation:
For the density of states at the Fermi level, the calculation gives 1.01 states/eV/atom. Its energy relative to the elements is 1531 meV per atom. As for the total energy: -123.48 eV/cell. The magnetization comes out at 2.16 μB per formula unit.



(2)
VASP calculation (SCAN) on LaTa2Cr at its PBEsol-relaxed geometry.

Cell and atoms, written as POSCAR:
```
LaTa2Cr
1.0
2.924 -0.011 0.000
-1.177 2.677 0.000
0.000 0.000 9.431
Ta La Cr
2 1 1
Cartesian
0.874 1.333 6.860 Ta
0.000 0.000 9.152 Ta
0.874 1.333 2.602 La
0.000 0.000 4.964 Cr
```

Values from the calculation:
For the density of states at the Fermi level, the calculation gives 1.22 states/eV/atom. Its energy relative to the elements is 516 meV per atom. As for the total energy: -192.59 eV/cell. The magnetization comes out at 0.00 μB per formula unit.



(3)
VASP calculation (SCAN) on LaTa2Cr at its PBEsol-relaxed geometry.

Cell and atoms, written as POSCAR:
```
LaTa2Cr
1.0
3.238 0.000 0.000
-1.619 5.033 -0.174
0.000 -1.777 4.758
Ta La Cr
2 1 1
Cartesian
0.000 0.928 3.252 Ta
1.619 3.256 4.405 Ta
1.619 2.325 1.115 La
1.619 -0.887 2.774 Cr
```

Values from the calculation:
For the density of states at the Fermi level, the calculation gives 0.86 states/eV/atom. Its energy relative to the elements is 650 meV per atom. As for the total energy: -192.06 eV/cell. The magnetization comes out at 0.00 μB per formula unit.